Model P:
DFT (GGA-PBE) results for a relaxed structure of SrHf2Ga2.

abc: 5.010 5.010 6.353
angles: 66.78 66.78 90.00
Atoms (fractional coordinates):
1 Ga 0.250 0.750 0.500
2 Ga 0.750 0.250 0.500
3 Hf 0.342 0.342 0.316
4 Hf 0.658 0.658 0.684
5 Sr 0.000 0.000 0.000


Model Q:
DFT (GGA-PBE) results for a relaxed structure of SrHf2Ga2.

abc: 8.501 8.501 3.123
angles: 90.00 90.00 90.00
Atoms (fractional coordinates):
1 Ga 0.836 0.664 0.000
2 Ga 0.336 0.836 0.000
3 Ga 0.164 0.336 0.000
4 Ga 0.664 0.164 0.000
5 Hf 0.370 0.130 0.500
6 Hf 0.870 0.370 0.500
7 Hf 0.130 0.630 0.500
8 Hf 0.630 0.870 0.500
9 Sr 0.000 0.000 0.000
10 Sr 0.500 0.500 0.000


Short version: model Q is the most stable of them.


Model P:
DFT (GGA-PBE) results for a relaxed structure of SrHf3Ga.

abc: 5.135 5.135 5.135
angles: 90.00 90.00 90.00
Atoms (fractional coordinates):
1 Hf 0.500 0.000 0.000
2 Hf 0.000 0.500 0.000
3 Hf 0.000 0.000 0.500
4 Ga 0.500 0.500 0.500
5 Sr 0.000 0.000 0.000


Model Q:
DFT (GGA-PBE) results for a relaxed structure of SrHf3Ga.

abc: 5.184 5.184 5.184
angles: 90.00 90.00 90.00
Each line ends with the local moment (μB).
Atoms (fractional coordinates):
1 Hf 0.500 0.000 0.000  0.21
2 Hf 0.000 0.500 0.000  0.22
3 Hf 0.000 0.000 0.500  0.29
4 Sr 0.500 0.500 0.500  0.05
5 Ga 0.000 0.000 0.000  0.04


Short version: model Q is the most stable of them.


Model P:
DFT (GGA-PBE) results for a relaxed structure of HfTaGa4.

abc: 5.178 5.178 5.178
angles: 60.00 60.00 60.00
Atoms (fractional coordinates):
1 Ga 0.125 0.625 0.625
2 Ga 0.625 0.625 0.125
3 Ga 0.625 0.625 0.625
4 Ga 0.625 0.125 0.625
5 Ta 0.000 0.000 0.000
6 Hf 0.250 0.250 0.250


Model Q:
DFT (GGA-PBE) results for a relaxed structure of HfTaGa4.

abc: 3.218 3.218 10.280
angles: 90.00 89.99 79.03
Atoms (fractional coordinates):
1 Ga 0.500 0.500 0.830
2 Ga 0.000 0.000 0.679
3 Ga 0.000 0.000 0.321
4 Ga 0.500 0.500 0.170
5 Hf 0.500 0.500 0.500
6 Ta 0.000 0.000 0.000


Short version: model P is the most stable of them.